1.
This record from Alexandria describes an optimized crystal structure of ZrCrRh. The functional is PBE.

Structure (POSCAR):
```
ZrCrRh
1.0
-3.8702 -1.6099 1.2722
-2.4112 -2.3664 -2.7883
-0.4797 -4.3082 0.6304
Cr Rh Zr
1 1 1
Cartesian
0.0000 0.0000 0.0000
-3.3805 -4.1423 -0.4429
-5.0708 -6.2134 -0.6643
```

Output
Calculated volume ... 59.4 Å³ per cell
Formation enthalpy at 0 K ... 125 kJ/mol of formula units
Total moment ... 1.252 μB/atom

=====

2.
This record from Alexandria describes an optimized crystal structure of ZrCr2Rh. The functional is PBE.

Structure (POSCAR):
```
ZrCr2Rh
1.0
7.1154 0.0000 0.0000
0.0000 7.1154 0.0000
3.5577 3.5577 2.5467
Cr Rh Zr
4 2 2
Cartesian
5.5501 1.7789 0.6367
1.5653 5.3366 0.6367
5.3366 5.1230 1.9100
8.8943 9.1078 1.9100
0.0000 0.0000 0.0000
7.1154 3.5577 1.2733
3.5577 3.5577 0.0000
3.5577 7.1154 1.2733
```

Output
Calculated volume ... 128.9 Å³ per cell
Formation enthalpy at 0 K ... 191 kJ/mol of formula units
Total moment ... 0.000 μB/atom

=====

3.
This record from Alexandria describes an optimized crystal structure of Zr2CrRh. The functional is PBE.

Structure (POSCAR):
```
Zr2CrRh
1.0
8.5133 -0.0149 -0.0088
7.9359 3.0819 -0.0088
7.9359 1.4797 2.7035
Cr Rh Zr
1 1 2
Cartesian
6.0963 1.1367 0.6715
18.2888 3.4101 2.0145
24.3160 4.5339 2.6783
12.2616 2.2863 1.3506
```

Output
Calculated volume ... 71.5 Å³ per cell
Formation enthalpy at 0 K ... 4 kJ/mol of formula units
Total moment ... 0.128 μB/atom

=====

Q: The lowest calculated volume belongs to which entry?
A: ZrCrRh